A plane-wave DFT calculation with PBE was carried out for crystalline KReRu2 at its relaxed geometry.

Cell: 8.867 2.820 6.927 Å, 90.00 96.92 90.00°
Atoms (fractional coordinates):
K: 0.000 0.000 0.000
K: 0.500 0.500 0.000
Re: 0.000 0.500 0.500
Re: 0.500 0.000 0.500
Ru: 0.224 0.000 0.645
Ru: 0.276 0.500 0.355
Ru: 0.724 0.500 0.645
Ru: 0.776 0.000 0.355

Properties
* electronic total energy: -7.177 eV/atom
* DOS(E_F): 1.392 states/eV per atom
* DFT formation energy: 0.85 eV/atom